1.
A plane-wave DFT calculation with PBE was carried out for crystalline AgH3N at its relaxed geometry.

Unit cell a=8.7541 b=3.0960 c=4.6388 alpha=89.99 beta=90.00 gamma=90.01
Sites, in units of the cell vectors:
H: 0.4067 0.8729 0.0228
H: 0.1358 0.0117 0.7011
Ag: 0.8136 0.9411 0.1992
H: 0.4070 0.8734 0.3795
H: 0.5114 0.5118 0.2011
N: 0.2363 0.1790 0.7012
H: 0.2403 0.3733 0.8795
N: 0.4109 0.6791 0.2013
H: 0.2406 0.3729 0.5228
Ag: 0.8336 0.4410 0.6992

Summary:
ρ = 3.30 Mg/m³
E above lowest polymorph = 0.0 meV/atom
D(E_F) = 0.7 states/eV/cell

***

2.
A plane-wave DFT calculation with PBE was carried out for crystalline Ho2RhBr at its relaxed geometry.

Unit cell a=3.9793 b=3.9793 c=7.9625 alpha=75.53 beta=75.53 gamma=60.00
Sites, in units of the cell vectors:
Rh: 0.0000 0.0000 0.0000
Ho: 0.2691 0.2691 0.1926
Br: 0.5000 0.5000 0.5000
Ho: 0.7309 0.7309 0.8074

Summary:
ρ = 8.14 Mg/m³
E above lowest polymorph = 3.7 meV/atom
Raw formation energy = -1087 meV/atom
D(E_F) = 0.9 states/eV/cell

***

3.
A plane-wave DFT calculation with PBE was carried out for crystalline BaNaV at its relaxed geometry.

Unit cell a=5.7645 b=5.7645 c=5.7645 alpha=60.00 beta=60.00 gamma=60.00
Each line ends with the local moment (μB).
Sites, in units of the cell vectors:
Ba: 0.0000 0.0000 0.0000  0.24
Na: 0.2500 0.2500 0.2500  0.00
V: 0.7500 0.7500 0.7500  3.19

Summary:
ρ = 2.59 Mg/m³
E above lowest polymorph = 757.1 meV/atom
D(E_F) = 8.8 states/eV/cell